The following is a PBE calculation of a relaxed Ca2MgRu crystal, from Alexandria via LeMat-Bulk.

- density of states at the Fermi level (states/eV/atom) = 0.739
- energy (hartree per atom) = -0.1322
- SG = Cm, No. 8
- formation energy (meV per atom) = 122

Cell: 6.2910 6.2910 5.2528 Å, 65.43 65.43 32.49°
Last column: nearest neighbours and their distance in Å.
Positions (direct):
Ca 0.9513 0.9513 0.0495  2 Ru 2.92
Ca 0.7541 0.7541 0.7459  4 Ru 3.16-3.17, 2 Mg 3.38-3.39, 4 Ca 3.39-3.52
Mg 0.5574 0.5574 0.4431  2 Ru 2.63
Ru 0.2372 0.2372 0.2615  2 Mg 2.63, 2 Ca 2.92